1.
Computed, not measured: an optimized crystal structure of Tb8Cu2Rh at the GGA-PBE level of DFT.

Properties
Total energy, eV/cell: -53.9
DFT formation energy, meV per atom: -118
Total magnetization, Bohr magnetons per cell: 0.00
Excess energy over the best structure of this formula in the dataset, meV per atom: 114

a = 5.8969 Å, b = 7.7568 Å, c = 7.7568 Å
α = 115.47°, β = 101.00°, γ = 101.00°
Sites, in units of the cell vectors:
Cu 0.4922 0.3085 0.7021
Cu 0.4922 0.7021 0.3085
Tb 0.8035 0.6390 0.6390
Tb 0.3682 0.6602 0.9113
Tb 0.9894 0.7990 0.2065
Tb 0.5925 0.3438 0.0914
Tb 0.3682 0.9113 0.6602
Tb 0.9894 0.2065 0.7990
Tb 0.5925 0.0914 0.3438
Tb 0.1790 0.3671 0.3671
Rh 0.1325 0.0050 0.0050

***

2.
Computed, not measured: an optimized crystal structure of Tb2CuRh at the GGA-PBE level of DFT.

Properties
Total energy, eV/cell: -46.2
DFT formation energy, meV per atom: -593
Total magnetization, Bohr magnetons per cell: 0.00

a = 4.3643 Å, b = 5.5743 Å, c = 7.6034 Å
α = 110.15°, β = 90.00°, γ = 90.00°
Sites, in units of the cell vectors:
Cu 0.7500 0.6537 0.2884
Cu 0.2500 0.3463 0.7116
Tb 0.2500 0.7824 0.0660
Tb 0.7500 0.2265 0.4282
Tb 0.2500 0.7735 0.5718
Tb 0.7500 0.2176 0.9340
Rh 0.7500 0.6564 0.7867
Rh 0.2500 0.3436 0.2133

***

3.
Computed, not measured: an optimized crystal structure of TbCu2Rh at the GGA-PBE level of DFT.

Properties
Total energy, eV/cell: -21.3
DFT formation energy, meV per atom: -273
Total magnetization, Bohr magnetons per cell: 0.00

a = 4.3024 Å, b = 4.3024 Å, c = 5.0198 Å
α = 64.62°, β = 64.62°, γ = 60.00°
Sites, in units of the cell vectors:
Tb 0.0000 0.0000 0.0000
Cu 0.7902 0.7902 0.6293
Cu 0.2098 0.2098 0.3707
Rh 0.5000 0.5000 0.5000

***

4.
Computed, not measured: an optimized crystal structure of Tb2Cu15Rh2 at the GGA-PBE level of DFT.

Properties
Total energy, eV/cell: -88.4
DFT formation energy, meV per atom: -157
Total magnetization, Bohr magnetons per cell: 0.00

a = 6.4788 Å, b = 6.4788 Å, c = 6.4788 Å
α = 83.40°, β = 83.40°, γ = 83.40°
Sites, in units of the cell vectors:
Cu 0.2931 0.7069 0.0000
Cu 0.2931 0.0000 0.7069
Cu 0.1534 0.6483 0.6483
Cu 0.6483 0.6483 0.1534
Cu 0.0000 0.2931 0.7069
Cu 0.3517 0.8466 0.3517
Cu 0.0000 0.5000 0.0000
Cu 0.7069 0.0000 0.2931
Cu 0.7069 0.2931 0.0000
Cu 0.8466 0.3517 0.3517
Cu 0.0000 0.0000 0.5000
Cu 0.3517 0.3517 0.8466
Cu 0.5000 0.0000 0.0000
Cu 0.0000 0.7069 0.2931
Cu 0.6483 0.1534 0.6483
Rh 0.8946 0.8946 0.8946
Rh 0.1054 0.1054 0.1054
Tb 0.6669 0.6669 0.6669
Tb 0.3331 0.3331 0.3331

***

5.
Computed, not measured: an optimized crystal structure of Tb3Cu2Rh at the GGA-PBE level of DFT.

Properties
Total energy, eV/cell: -127.3
DFT formation energy, meV per atom: -399
Total magnetization, Bohr magnetons per cell: 0.00
Excess energy over the best structure of this formula in the dataset, meV per atom: 38

a = 4.1813 Å, b = 11.2693 Å, c = 11.5225 Å
α = 90.00°, β = 90.00°, γ = 90.00°
Sites, in units of the cell vectors:
Rh 0.2500 0.3700 0.6235
Rh 0.7500 0.6300 0.3765
Rh 0.2500 0.1300 0.1235
Rh 0.7500 0.8700 0.8765
Cu 0.7500 0.4981 0.1915
Cu 0.2500 0.8062 0.9932
Cu 0.2500 0.5019 0.8085
Cu 0.7500 0.1938 0.0068
Cu 0.7500 0.3062 0.5068
Cu 0.7500 0.0019 0.6915
Cu 0.2500 0.9981 0.3085
Cu 0.2500 0.6938 0.4932
Tb 0.2500 0.7960 0.7268
Tb 0.7500 0.6246 0.9508
Tb 0.7500 0.9449 0.1187
Tb 0.2500 0.3754 0.0492
Tb 0.2500 0.0551 0.8813
Tb 0.2500 0.4449 0.3813
Tb 0.7500 0.2960 0.7732
Tb 0.2500 0.1246 0.5492
Tb 0.7500 0.5551 0.6187
Tb 0.2500 0.7040 0.2268
Tb 0.7500 0.8754 0.4508
Tb 0.7500 0.2040 0.2732

***

6.
Computed, not measured: an optimized crystal structure of TbTiCuRh at the GGA-PBE level of DFT.

Properties
Total energy, eV/cell: -25.3
DFT formation energy, meV per atom: -334
Total magnetization, Bohr magnetons per cell: 0.24

a = 4.6576 Å, b = 4.6576 Å, c = 4.6576 Å
α = 60.00°, β = 60.00°, γ = 60.00°
Each line ends with the local moment (μB).
Sites, in units of the cell vectors:
Rh 0.0000 0.0000 0.0000  -0.03
Cu 0.5000 0.5000 0.5000  0.01
Tb 0.2500 0.2500 0.2500  0.02
Ti 0.7500 0.7500 0.7500  0.20

***

7.
Computed, not measured: an optimized crystal structure of TbTlCuRh at the GGA-PBE level of DFT.

Properties
Total energy, eV/cell: -19.5
DFT formation energy, meV per atom: -276
Total magnetization, Bohr magnetons per cell: 0.00

a = 4.7754 Å, b = 4.7754 Å, c = 4.7754 Å
α = 60.00°, β = 60.00°, γ = 60.00°
Sites, in units of the cell vectors:
Tb 0.0000 0.0000 0.0000
Cu 0.2500 0.2500 0.2500
Tl 0.5000 0.5000 0.5000
Rh 0.7500 0.7500 0.7500

***

8.
Computed, not measured: an optimized crystal structure of TbTmCuRh at the GGA-PBE level of DFT.

Properties
Total energy, eV/cell: -22.9
DFT formation energy, meV per atom: -582
Total magnetization, Bohr magnetons per cell: 0.00
Excess energy over the best structure of this formula in the dataset, meV per atom: 16

a = 4.8598 Å, b = 4.8598 Å, c = 4.8598 Å
α = 60.00°, β = 60.00°, γ = 60.00°
Sites, in units of the cell vectors:
Tm 0.0000 0.0000 0.0000
Rh 0.7500 0.7500 0.7500
Tb 0.5000 0.5000 0.5000
Cu 0.2500 0.2500 0.2500

***

9.
Computed, not measured: an optimized crystal structure of TbTmCuRh at the GGA-PBE level of DFT.

Properties
Total energy, eV/cell: -22.9
DFT formation energy, meV per atom: -597
Total magnetization, Bohr magnetons per cell: 0.00
Excess energy over the best structure of this formula in the dataset, meV per atom: 0

a = 3.7409 Å, b = 4.3704 Å, c = 5.4934 Å
α = 90.00°, β = 109.91°, γ = 90.00°
Sites, in units of the cell vectors:
Rh 0.4186 0.0000 0.8372
Cu 0.5761 0.5000 0.1521
Tm 0.8635 0.5000 0.7270
Tb 0.1419 0.0000 0.2837

***

10.
Computed, not measured: an optimized crystal structure of TbYCuRh at the GGA-PBE level of DFT.

Properties
Total energy, eV/cell: -24.8
DFT formation energy, meV per atom: -575
Total magnetization, Bohr magnetons per cell: 0.00
Excess energy over the best structure of this formula in the dataset, meV per atom: 0

a = 3.8102 Å, b = 4.3636 Å, c = 5.5552 Å
α = 90.00°, β = 110.06°, γ = 90.00°
Sites, in units of the cell vectors:
Rh 0.4204 0.0000 0.8408
Cu 0.5756 0.5000 0.1512
Y 0.1409 0.0000 0.2819
Tb 0.8631 0.5000 0.7261

***

11.
Computed, not measured: an optimized crystal structure of TbYCuRh at the GGA-PBE level of DFT.

Properties
Total energy, eV/cell: -24.7
DFT formation energy, meV per atom: -546
Total magnetization, Bohr magnetons per cell: 0.00
Excess energy over the best structure of this formula in the dataset, meV per atom: 29

a = 4.9009 Å, b = 4.9009 Å, c = 4.9009 Å
α = 60.00°, β = 60.00°, γ = 60.00°
Sites, in units of the cell vectors:
Tb 0.2500 0.2500 0.2500
Cu 0.0000 0.0000 0.0000
Y 0.7500 0.7500 0.7500
Rh 0.5000 0.5000 0.5000

***

12.
Computed, not measured: an optimized crystal structure of Tb2ZnCu2Rh5 at the GGA-PBE level of DFT.

Properties
Total energy, eV/cell: -119.6
DFT formation energy, meV per atom: -434
Total magnetization, Bohr magnetons per cell: 0.00

a = 3.8297 Å, b = 9.2507 Å, c = 9.2507 Å
α = 90.00°, β = 90.00°, γ = 90.00°
Sites, in units of the cell vectors:
Rh 0.5000 0.9333 0.2024
Rh 0.5000 0.2024 0.0667
Rh 0.5000 0.2976 0.5667
Rh 0.5000 0.4333 0.2976
Rh 0.5000 0.0667 0.7976
Rh 0.5000 0.0000 0.5000
Rh 0.5000 0.5667 0.7024
Rh 0.5000 0.7024 0.4333
Rh 0.5000 0.7976 0.9333
Rh 0.5000 0.5000 0.0000
Zn 0.0000 0.5000 0.5000
Zn 0.0000 0.0000 0.0000
Tb 0.0000 0.3245 0.8245
Tb 0.0000 0.1755 0.3245
Tb 0.0000 0.6755 0.1755
Tb 0.0000 0.8245 0.6755
Cu 0.0000 0.8774 0.3774
Cu 0.0000 0.3774 0.1226
Cu 0.0000 0.1226 0.6226
Cu 0.0000 0.6226 0.8774